#A
Entry from Alexandria via LeMat-Bulk: a relaxed NiRuRh crystal (PBE-GGA). Values from VASP.

Geometry as Quantum ESPRESSO input:
```
&SYSTEM
  ibrav = 0, nat = 6, ntyp = 3
/
ATOMIC_SPECIES
Ni 58.69 Ni.upf
Ru 101.07 Ru.upf
Rh 102.91 Rh.upf
CELL_PARAMETERS angstrom
4.178 -1.842 0.000
4.178 1.842 0.000
-1.776 0.000 5.102
ATOMIC_POSITIONS crystal
Ni 0.000 0.000 0.000
Ni 0.000 0.000 0.500
Ru 0.331 0.331 0.662
Ru 0.669 0.669 0.338
Rh 0.336 0.336 0.169
Rh 0.664 0.664 0.831
```

Summary:
- Space group: C2/m

#B
Entry from Alexandria via LeMat-Bulk: a relaxed NiRuRh crystal (PBE-GGA). Values from VASP.

Geometry as Quantum ESPRESSO input:
```
&SYSTEM
  ibrav = 0, nat = 6, ntyp = 3
/
ATOMIC_SPECIES
Ni 58.69 Ni.upf
Ru 101.07 Ru.upf
Rh 102.91 Rh.upf
CELL_PARAMETERS angstrom
2.319 -1.337 0.000
2.319 1.337 0.000
-0.016 0.000 12.814
ATOMIC_POSITIONS crystal
Ni 0.166 0.166 0.076
Ni 0.834 0.834 0.924
Ru 0.166 0.166 0.584
Ru 0.834 0.834 0.416
Rh 0.500 0.500 0.241
Rh 0.500 0.500 0.759
```

Summary:
- Space group: C2/m

Quick one: most stable of them? #A

#A
Entry from Alexandria via LeMat-Bulk: a relaxed NiRuRh crystal (PBE-GGA). Values from VASP.

Geometry as Quantum ESPRESSO input:
```
&SYSTEM
  ibrav = 0, nat = 6, ntyp = 3
/
ATOMIC_SPECIES
Ni 58.69 Ni.upf
Ru 101.07 Ru.upf
Rh 102.91 Rh.upf
CELL_PARAMETERS angstrom
4.241 -1.860 0.000
4.241 1.860 0.000
-1.653 0.000 4.995
ATOMIC_POSITIONS crystal
Ni 0.172 0.172 0.081
Ni 0.828 0.828 0.919
Ru 0.169 0.169 0.581
Ru 0.831 0.831 0.419
Rh 0.499 0.499 0.753
Rh 0.501 0.501 0.247
```

Summary:
- Space group: C2/m

#B
Entry from Alexandria via LeMat-Bulk: a relaxed NiRuRh crystal (PBE-GGA). Values from VASP.

Geometry as Quantum ESPRESSO input:
```
&SYSTEM
  ibrav = 0, nat = 3, ntyp = 3
/
ATOMIC_SPECIES
Ni 58.69 Ni.upf
Ru 101.07 Ru.upf
Rh 102.91 Rh.upf
CELL_PARAMETERS angstrom
0.000 2.814 2.814
2.814 0.000 2.814
2.814 2.814 0.000
ATOMIC_POSITIONS crystal
Ni 0.000 0.000 0.000
Ru 0.250 0.250 0.250
Rh 0.750 0.750 0.750
```

Summary:
- Space group: F-43m

#C
Entry from Alexandria via LeMat-Bulk: a relaxed NiRuRh crystal (PBE-GGA). Values from VASP.

Geometry as Quantum ESPRESSO input:
```
&SYSTEM
  ibrav = 0, nat = 6, ntyp = 3
/
ATOMIC_SPECIES
Ni 58.69 Ni.upf
Ru 101.07 Ru.upf
Rh 102.91 Rh.upf
CELL_PARAMETERS angstrom
2.281 -3.958 0.000
2.281 3.958 0.000
-1.590 0.000 4.350
ATOMIC_POSITIONS crystal
Ni 0.083 0.917 0.750
Ni 0.917 0.083 0.250
Ru 0.421 0.579 0.750
Ru 0.579 0.421 0.250
Rh 0.245 0.755 0.250
Rh 0.755 0.245 0.750
```

Summary:
- Space group: C2/c

#D
Entry from Alexandria via LeMat-Bulk: a relaxed NiRuRh crystal (PBE-GGA). Values from VASP.

Geometry as Quantum ESPRESSO input:
```
&SYSTEM
  ibrav = 0, nat = 6, ntyp = 3
/
ATOMIC_SPECIES
Ni 58.69 Ni.upf
Ru 101.07 Ru.upf
Rh 102.91 Rh.upf
CELL_PARAMETERS angstrom
4.162 -1.842 0.000
4.162 1.842 0.000
-1.728 0.000 5.120
ATOMIC_POSITIONS crystal
Ni 0.001 0.001 0.255
Ni 0.999 0.999 0.745
Ru 0.335 0.335 0.420
Ru 0.665 0.665 0.580
Rh 0.333 0.333 0.914
Rh 0.667 0.667 0.086
```

Summary:
- Space group: C2/m

Quick one: most stable of them? #D

#A
Entry from Alexandria via LeMat-Bulk: a relaxed Ni2RuRh5 crystal (PBE-GGA). Values from VASP.

Geometry as Quantum ESPRESSO input:
```
&SYSTEM
  ibrav = 0, nat = 8, ntyp = 3
/
ATOMIC_SPECIES
Ni 58.69 Ni.upf
Ru 101.07 Ru.upf
Rh 102.91 Rh.upf
CELL_PARAMETERS angstrom
-2.682 2.682 3.762
2.682 -2.682 3.762
2.682 2.682 -3.762
ATOMIC_POSITIONS crystal
Ni 0.000 0.500 0.500
Ni 0.500 0.000 0.500
Ru 0.000 0.000 0.000
Rh 0.000 0.000 0.500
Rh 0.000 0.500 0.000
Rh 0.500 0.000 0.000
Rh 0.500 0.500 0.000
Rh 0.500 0.500 0.500
```

Summary:
- Space group: I4/mmm

#B
Entry from Alexandria via LeMat-Bulk: a relaxed Ni2RuRh5 crystal (PBE-GGA). Values from VASP.

Geometry as Quantum ESPRESSO input:
```
&SYSTEM
  ibrav = 0, nat = 16, ntyp = 3
/
ATOMIC_SPECIES
Ni 58.69 Ni.upf
Ru 101.07 Ru.upf
Rh 102.91 Rh.upf
CELL_PARAMETERS angstrom
-3.193 3.193 5.404
3.193 -3.193 5.404
3.193 3.193 -5.404
ATOMIC_POSITIONS crystal
Ni 0.136 0.636 0.773
Ni 0.364 0.136 0.500
Ni 0.636 0.864 0.500
Ni 0.864 0.364 0.227
Ru 0.250 0.250 0.000
Ru 0.750 0.750 0.000
Rh 0.000 0.000 0.000
Rh 0.003 0.813 0.500
Rh 0.187 0.687 0.190
Rh 0.313 0.503 0.500
Rh 0.497 0.997 0.810
Rh 0.500 0.500 0.000
Rh 0.503 0.003 0.190
Rh 0.687 0.497 0.500
Rh 0.813 0.313 0.810
Rh 0.997 0.187 0.500
```

Summary:
- Space group: I4/mcm

Quick one: most stable of them? #A

#A
Entry from Alexandria via LeMat-Bulk: a relaxed Ni3RuRh crystal (PBE-GGA). Values from VASP.

Geometry as Quantum ESPRESSO input:
```
&SYSTEM
  ibrav = 0, nat = 5, ntyp = 3
/
ATOMIC_SPECIES
Ni 58.69 Ni.upf
Ru 101.07 Ru.upf
Rh 102.91 Rh.upf
CELL_PARAMETERS angstrom
4.371 0.000 0.000
0.000 4.371 0.000
0.000 0.000 4.371
ATOMIC_POSITIONS crystal
Ni 0.000 0.000 0.500
Ni 0.000 0.500 0.000
Ni 0.500 0.000 0.000
Ru 0.000 0.000 0.000
Rh 0.500 0.500 0.500
```

Summary:
- Space group: Pm-3m

#B
Entry from Alexandria via LeMat-Bulk: a relaxed Ni3RuRh crystal (PBE-GGA). Values from VASP.

Geometry as Quantum ESPRESSO input:
```
&SYSTEM
  ibrav = 0, nat = 20, ntyp = 3
/
ATOMIC_SPECIES
Ni 58.69 Ni.upf
Ru 101.07 Ru.upf
Rh 102.91 Rh.upf
CELL_PARAMETERS angstrom
5.035 0.000 0.000
0.000 6.197 0.000
-1.142 0.000 8.286
ATOMIC_POSITIONS crystal
Ni 0.165 0.038 0.406
Ni 0.165 0.462 0.906
Ni 0.215 0.713 0.682
Ni 0.215 0.787 0.182
Ni 0.303 0.091 0.759
Ni 0.303 0.409 0.259
Ni 0.697 0.591 0.741
Ni 0.697 0.909 0.241
Ni 0.785 0.213 0.818
Ni 0.785 0.287 0.318
Ni 0.835 0.538 0.094
Ni 0.835 0.962 0.594
Ru 0.026 0.144 0.102
Ru 0.026 0.356 0.602
Ru 0.974 0.644 0.398
Ru 0.974 0.856 0.898
Rh 0.490 0.706 0.456
Rh 0.490 0.794 0.956
Rh 0.510 0.206 0.044
Rh 0.510 0.294 0.544
```

Summary:
- Space group: P2_1/c

Quick one: most stable of them? #B